# RbMg2MnI8

RbMg2MnI8 after structural relaxation (PBE, Alexandria).

Output
DOS at the Fermi energy in states/eV/atom: 0.181
Energy relative to the elements, uncorrected in eV/atom: -0.81
E in eV/atom: -2.95

```
data_RbMg2MnI8
_chemical_formula_sum 'Rb1 Mg2 Mn1 I8'
_space_group_name_H-M_alt 'P -1'
_space_group_IT_number 2
_cell_length_a 7.2308
_cell_length_b 7.2976
_cell_length_c 10.6972
_cell_angle_alpha 83.14
_cell_angle_beta 88.39
_cell_angle_gamma 69.66
loop_
_space_group_symop_operation_xyz
'x,y,z'
'-x,-y,-z'
loop_
_atom_site_label
_atom_site_type_symbol
_atom_site_fract_x
_atom_site_fract_y
_atom_site_fract_z
_atom_site_occupancy
Rb1 Rb 0.0000 0.0000 0.0000 1
Mg1 Mg 0.3701 0.3696 0.2957 1
Mn1 Mn 0.0000 0.0000 0.5000 1
I1 I 0.2061 0.7407 0.6947 1
I2 I 0.2318 0.2199 0.5180 1
I3 I 0.2748 0.7683 0.3103 1
I4 I 0.3100 0.3026 0.0637 1
```

***

# HfFe2Os

HfFe2Os after structural relaxation (PBE, Alexandria).

Output
E_form in eV/atom: -0.086
Polymorph energy (0 for the lowest one) in meV per atom: 0.0
DOS at the Fermi energy in states/eV/atom: 0.849
E in eV/atom: -9.61

```
data_HfFe2Os
_chemical_formula_sum 'Hf4 Fe8 Os4'
_space_group_name_H-M_alt 'F m -3 m'
_space_group_IT_number 225
_space_group_name_Hall '-F 4 2 3'
_cell_length_a 6.1186
_cell_length_b 6.1186
_cell_length_c 6.1186
_cell_angle_alpha 90.00
_cell_angle_beta 90.00
_cell_angle_gamma 90.00
loop_
_atom_site_label
_atom_site_type_symbol
_atom_site_fract_x
_atom_site_fract_y
_atom_site_fract_z
_atom_site_occupancy
Hf1 Hf 0.0000 0.0000 0.0000 1
Fe1 Fe 0.2500 0.2500 0.2500 1
Os1 Os 0.0000 0.0000 0.5000 1
```

***

# RuAu3O

RuAu3O after structural relaxation (PBE, Alexandria).

Output
Polymorph energy (0 for the lowest one) in meV per atom: 916.6
DOS at the Fermi energy in states/eV/atom: 2.678
Energy relative to the elements, uncorrected in eV/atom: 1.77
E in eV/atom: -3.04

```
data_RuAu3O
_chemical_formula_sum 'Ru1 Au3 O1'
_space_group_name_H-M_alt 'P m -3 m'
_space_group_IT_number 221
_space_group_name_Hall '-P 4 2 3'
_cell_length_a 4.9740
_cell_length_b 4.9740
_cell_length_c 4.9740
_cell_angle_alpha 90.00
_cell_angle_beta 90.00
_cell_angle_gamma 90.00
loop_
_atom_site_label
_atom_site_type_symbol
_atom_site_fract_x
_atom_site_fract_y
_atom_site_fract_z
_atom_site_occupancy
Ru1 Ru 0.0000 0.0000 0.0000 1
Au1 Au 0.0000 0.0000 0.5000 1
O1 O 0.5000 0.5000 0.5000 1
```

***

# PuPa2Rh

PuPa2Rh after structural relaxation (PBE, Alexandria).

Output
E_form in eV/atom: -0.287
Polymorph energy (0 for the lowest one) in meV per atom: 46.5
DOS at the Fermi energy in states/eV/atom: 2.322
E in eV/atom: -10.46

```
data_PuPa2Rh
_chemical_formula_sum 'Pu1 Pa2 Rh1'
_space_group_name_H-M_alt 'P 4/m m m'
_space_group_IT_number 123
_space_group_name_Hall '-P 4 2'
_cell_length_a 5.1050
_cell_length_b 5.1050
_cell_length_c 3.2438
_cell_angle_alpha 90.00
_cell_angle_beta 90.00
_cell_angle_gamma 90.00
loop_
_atom_site_label
_atom_site_type_symbol
_atom_site_fract_x
_atom_site_fract_y
_atom_site_fract_z
_atom_site_occupancy
Pu1 Pu 0.0000 0.0000 0.0000 1
Pa1 Pa 0.0000 0.5000 0.5000 1
Rh1 Rh 0.5000 0.5000 0.0000 1
```

***

# Pu3BeSi3

Pu3BeSi3 after structural relaxation (PBE, Alexandria).

Output
DOS at the Fermi energy in states/eV/atom: 3.503
Energy relative to the elements, uncorrected in eV/atom: -0.35
E in eV/atom: -9.35

```
data_Pu3BeSi3
_chemical_formula_sum 'Pu6 Be2 Si6'
_space_group_name_H-M_alt 'I m m 2'
_space_group_IT_number 44
_cell_length_a 3.8006
_cell_length_b 4.1603
_cell_length_c 17.4895
_cell_angle_alpha 90.00
_cell_angle_beta 90.00
_cell_angle_gamma 90.00
loop_
_space_group_symop_operation_xyz
'x,y,z'
'-x,-y,z'
'-x,y,z'
'x,-y,z'
'x+1/2,y+1/2,z+1/2'
'-x+1/2,-y+1/2,z+1/2'
'-x+1/2,y+1/2,z+1/2'
'x+1/2,-y+1/2,z+1/2'
loop_
_atom_site_label
_atom_site_type_symbol
_atom_site_fract_x
_atom_site_fract_y
_atom_site_fract_z
_atom_site_occupancy
Pu1 Pu 0.0000 0.0000 0.0000 1
Pu2 Pu 0.0000 0.0000 0.3794 1
Pu3 Pu 0.0000 0.5000 0.6866 1
Be1 Be 0.0000 0.5000 0.1211 1
Si1 Si 0.0000 0.0000 0.5558 1
Si2 Si 0.0000 0.0000 0.8271 1
Si3 Si 0.0000 0.5000 0.2459 1
```

***

# PmSm3YTh

PmSm3YTh after structural relaxation (PBE, Alexandria).

Output
E_form in eV/atom: 0.199
DOS at the Fermi energy in states/eV/atom: 1.309
E in eV/atom: -5.27

```
data_PmSm3YTh
_chemical_formula_sum 'Pm4 Sm12 Y4 Th4'
_space_group_name_H-M_alt 'C 1 2/m 1'
_space_group_IT_number 12
_cell_length_a 22.0594
_cell_length_b 5.5161
_cell_length_c 6.9145
_cell_angle_alpha 90.00
_cell_angle_beta 99.50
_cell_angle_gamma 90.00
loop_
_space_group_symop_operation_xyz
'x,y,z'
'-x,-y,-z'
'-x,y,-z'
'x,-y,z'
'x+1/2,y+1/2,z'
'-x+1/2,-y+1/2,-z'
'-x+1/2,y+1/2,-z'
'x+1/2,-y+1/2,z'
loop_
_atom_site_label
_atom_site_type_symbol
_atom_site_fract_x
_atom_site_fract_y
_atom_site_fract_z
_atom_site_occupancy
Pm1 Pm 0.1311 0.0000 0.4561 1
Sm1 Sm 0.0264 0.0000 0.7748 1
Sm2 Sm 0.1609 0.5000 0.7600 1
Sm3 Sm 0.2240 0.5000 0.3089 1
Y1 Y 0.1692 0.0000 0.0242 1
Th1 Th 0.0666 0.5000 0.1696 1
```

***

# Ac2SnBiO6

Ac2SnBiO6 after structural relaxation (PBE, Alexandria).

Output
DOS at the Fermi energy in states/eV/atom: 0.459
Energy relative to the elements, uncorrected in eV/atom: -2.15
E in eV/atom: -6.73

```
data_Ac2SnBiO6
_chemical_formula_sum 'Ac2 Sn1 Bi1 O6'
_space_group_name_H-M_alt 'P 4 m m'
_space_group_IT_number 99
_cell_length_a 5.6824
_cell_length_b 5.6824
_cell_length_c 5.7049
_cell_angle_alpha 90.00
_cell_angle_beta 90.00
_cell_angle_gamma 90.00
loop_
_space_group_symop_operation_xyz
'x,y,z'
'-y,x,z'
'-x,-y,z'
'y,-x,z'
'-x,y,z'
'y,x,z'
'x,-y,z'
'-y,-x,z'
loop_
_atom_site_label
_atom_site_type_symbol
_atom_site_fract_x
_atom_site_fract_y
_atom_site_fract_z
_atom_site_occupancy
Ac1 Ac 0.0000 0.5000 0.0000 1
Sn1 Sn 0.0000 0.0000 0.5688 1
Bi1 Bi 0.5000 0.5000 0.5563 1
O1 O 0.0000 0.0000 0.1969 1
O2 O 0.2419 0.2419 0.7372 1
O3 O 0.5000 0.5000 0.1456 1
```

***

# Zr5Al2Bi

Zr5Al2Bi after structural relaxation (PBE, Alexandria).

Output
E_form in eV/atom: -0.390
DOS at the Fermi energy in states/eV/atom: 1.155
E in eV/atom: -7.15

```
data_Zr5Al2Bi
_chemical_formula_sum 'Zr20 Al8 Bi4'
_space_group_name_H-M_alt 'I 4/m c m'
_space_group_IT_number 140
_space_group_name_Hall '-I 4 2c'
_cell_length_a 7.4054
_cell_length_b 7.4054
_cell_length_c 12.6928
_cell_angle_alpha 90.00
_cell_angle_beta 90.00
_cell_angle_gamma 90.00
loop_
_atom_site_label
_atom_site_type_symbol
_atom_site_fract_x
_atom_site_fract_y
_atom_site_fract_z
_atom_site_occupancy
Zr1 Zr 0.0000 0.0000 0.0000 1
Zr2 Zr 0.1581 0.3419 0.1500 1
Al1 Al 0.1341 0.3659 0.5000 1
Bi1 Bi 0.0000 0.0000 0.2500 1
```

***

# Bi4S5

Bi4S5 after structural relaxation (PBE, Alexandria).

Output
DOS at the Fermi energy in states/eV/atom: 0.406
Energy relative to the elements, uncorrected in eV/atom: 0.04
E in eV/atom: -3.98

```
data_Bi4S5
_chemical_formula_sum 'Bi8 S10'
_space_group_name_H-M_alt 'C 1 2/m 1'
_space_group_IT_number 12
_cell_length_a 14.0584
_cell_length_b 8.7298
_cell_length_c 3.6709
_cell_angle_alpha 90.00
_cell_angle_beta 104.83
_cell_angle_gamma 90.00
loop_
_space_group_symop_operation_xyz
'x,y,z'
'-x,-y,-z'
'-x,y,-z'
'x,-y,z'
'x+1/2,y+1/2,z'
'-x+1/2,-y+1/2,-z'
'-x+1/2,y+1/2,-z'
'x+1/2,-y+1/2,z'
loop_
_atom_site_label
_atom_site_type_symbol
_atom_site_fract_x
_atom_site_fract_y
_atom_site_fract_z
_atom_site_occupancy
Bi1 Bi 0.1421 0.2100 0.1442 1
S1 S 0.0000 0.0000 0.5000 1
S2 S 0.0000 0.3828 0.5000 1
S3 S 0.2359 0.5000 0.2297 1
```

***

# BaHf2TeH

BaHf2TeH after structural relaxation (PBE, Alexandria).

Output
DOS at the Fermi energy in states/eV/atom: 0.938
E in eV/atom: -3.46

```
data_BaHf2TeH
_chemical_formula_sum 'Ba1 Hf2 Te1 H1'
_space_group_name_H-M_alt 'P 4/m m m'
_space_group_IT_number 123
_space_group_name_Hall '-P 4 2'
_cell_length_a 5.6070
_cell_length_b 5.6070
_cell_length_c 6.2182
_cell_angle_alpha 90.00
_cell_angle_beta 90.00
_cell_angle_gamma 90.00
loop_
_atom_site_label
_atom_site_type_symbol
_atom_site_fract_x
_atom_site_fract_y
_atom_site_fract_z
_atom_site_occupancy
Ba1 Ba 0.0000 0.0000 0.0000 1
Hf1 Hf 0.0000 0.5000 0.0000 1
Te1 Te 0.0000 0.0000 0.5000 1
H1 H 0.5000 0.5000 0.5000 1
```

***

# LiCeEr2Te4

LiCeEr2Te4 after structural relaxation (PBE, Alexandria).

Output
DOS at the Fermi energy in states/eV/atom: 1.075
Energy relative to the elements, uncorrected in eV/atom: -1.29
E in eV/atom: -4.98

```
data_LiCeEr2Te4
_chemical_formula_sum 'Li1 Ce1 Er2 Te4'
_space_group_name_H-M_alt 'P 1 2/m 1'
_space_group_IT_number 10
_cell_length_a 7.5712
_cell_length_b 4.3378
_cell_length_c 7.5954
_cell_angle_alpha 90.00
_cell_angle_beta 109.16
_cell_angle_gamma 90.00
loop_
_space_group_symop_operation_xyz
'x,y,z'
'-x,-y,-z'
'-x,y,-z'
'x,-y,z'
loop_
_atom_site_label
_atom_site_type_symbol
_atom_site_fract_x
_atom_site_fract_y
_atom_site_fract_z
_atom_site_occupancy
Li1 Li 0.0000 0.0000 0.0000 1
Ce1 Ce 0.5000 0.5000 0.0000 1
Er1 Er 0.0000 0.5000 0.5000 1
Er2 Er 0.5000 0.0000 0.5000 1
Te1 Te 0.2382 0.0000 0.7436 1
Te2 Te 0.2422 0.5000 0.2517 1
```

***

# Dy2Zn5Ni4

Dy2Zn5Ni4 after structural relaxation (PBE, Alexandria).

Output
E_form in eV/atom: -0.335
DOS at the Fermi energy in states/eV/atom: 0.578
E in eV/atom: -3.85

```
data_Dy2Zn5Ni4
_chemical_formula_sum 'Dy8 Zn20 Ni16'
_space_group_name_H-M_alt 'F m m m'
_space_group_IT_number 69
_space_group_name_Hall '-F 2 2'
_cell_length_a 5.1435
_cell_length_b 8.7865
_cell_length_c 15.7152
_cell_angle_alpha 90.00
_cell_angle_beta 90.00
_cell_angle_gamma 90.00
loop_
_atom_site_label
_atom_site_type_symbol
_atom_site_fract_x
_atom_site_fract_y
_atom_site_fract_z
_atom_site_occupancy
Dy1 Dy 0.0000 0.0000 0.1400 1
Zn1 Zn 0.0000 0.0000 0.5000 1
Zn2 Zn 0.2500 0.2500 0.0000 1
Zn3 Zn 0.2500 0.2500 0.2500 1
Ni1 Ni 0.0000 0.1566 0.3715 1
```

***

Number 1: total magnetization 3.92 μB/f.u.. Number 2: total magnetization 4.45 μB/f.u.. Number 3: total magnetization 0.00 μB/f.u.. Number 4: total magnetization 4.15 μB/f.u.. Number 5: total magnetization 5.55 μB/f.u.. Number 6: total magnetization 0.00 μB/f.u.. Number 7: total magnetization 0.00 μB/f.u.. Number 8: total magnetization 0.00 μB/f.u.. Number 9: total magnetization 0.00 μB/f.u.. Number 10: total magnetization 0.44 μB/f.u.. Number 11: total magnetization 1.28 μB/f.u.. Number 12: total magnetization 0.00 μB/f.u..